Here is an optimized crystal structure of Pm2Zn4Rh5 from Alexandria via LeMat-Bulk. Energies are from PBE-GGA.

a = 8.9540 Å, b = 8.1945 Å, c = 5.4072 Å
α = 79.46°, β = 64.12°, γ = 36.42°
Fractional coordinates of all 11 atoms:
Pm: 0.1304 0.1304 0.8696
Pm: 0.8696 0.8696 0.1304
Zn: 0.2124 0.5263 0.4737
Zn: 0.4737 0.7876 0.2124
Zn: 0.5263 0.2124 0.7876
Zn: 0.7876 0.4737 0.5263
Rh: 0.0000 0.0000 0.5000
Rh: 0.2500 0.2500 0.2500
Rh: 0.5000 0.5000 0.0000
Rh: 0.5000 0.5000 0.5000
Rh: 0.7500 0.7500 0.7500

Properties
The value obtained for the density of states at the Fermi level is 0.59 states/eV per atom. The spin magnetization comes out at 0.0 μB/cell. For the total energy, the calculation gives -0.376 Ry/atom. Its symmetry is No. 69.



Here is an optimized crystal structure of TmAgO from Alexandria via LeMat-Bulk. Energies are from PBE-GGA.

a = 8.4510 Å, b = 8.4510 Å, c = 8.4510 Å
α = 155.28°, β = 155.28°, γ = 35.23°
Fractional coordinates of all 6 atoms:
Tm: 0.0847 0.0847 0.0000
Tm: 0.9153 0.9153 0.0000
Ag: 0.2885 0.2885 0.0000
Ag: 0.7115 0.7115 0.0000
O: 0.0000 0.5000 0.5000
O: 0.5000 0.0000 0.5000

Properties
The value obtained for the density of states at the Fermi level is 0.22 states/eV per atom. The spin magnetization comes out at 0.0 μB/cell. For the total energy, the calculation gives -0.418 Ry/atom. The formation energy from raw total energies is -153.1 kJ/mol of atoms. Its symmetry is No. 139.



Here is an optimized crystal structure of ZrMnTe2 from Alexandria via LeMat-Bulk. Energies are from PBE-GGA.

a = 6.1540 Å, b = 6.1540 Å, c = 6.1540 Å
α = 140.96°, β = 140.96°, γ = 56.40°
Fractional coordinates of all 4 atoms:
Zr: 0.0000 0.0000 0.0000
Mn: 0.2500 0.7500 0.5000
Te: 0.5000 0.5000 0.0000
Te: 0.7500 0.2500 0.5000

Properties
The value obtained for the density of states at the Fermi level is 1.06 states/eV per atom. The spin magnetization comes out at 3.5 μB/cell. For the total energy, the calculation gives -0.446 Ry/atom. The formation energy from raw total energies is -6.5 kJ/mol of atoms. Its symmetry is No. 119. The offset from the most stable computed form comes out at 417.5 meV per atom.



Here is an optimized crystal structure of RbSmCl4 from Alexandria via LeMat-Bulk. Energies are from PBE-GGA.

a = 8.1551 Å, b = 8.1551 Å, c = 6.9882 Å
α = 96.52°, β = 96.52°, γ = 118.22°
Fractional coordinates of all 12 atoms:
Rb: 0.1442 0.8558 0.7500
Rb: 0.8558 0.1442 0.2500
Sm: 0.4987 0.5013 0.7500
Sm: 0.5013 0.4987 0.2500
Cl: 0.1826 0.2960 0.9345
Cl: 0.2532 0.5544 0.4738
Cl: 0.2960 0.1826 0.4345
Cl: 0.4456 0.7468 0.0262
Cl: 0.5544 0.2532 0.9738
Cl: 0.7040 0.8174 0.5655
Cl: 0.7468 0.4456 0.5262
Cl: 0.8174 0.7040 0.0655

Properties
The value obtained for the density of states at the Fermi level is 0.00 states/eV per atom. The spin magnetization comes out at 0.0 μB/cell. For the total energy, the calculation gives -0.317 Ry/atom. The formation energy from raw total energies is -205.6 kJ/mol of atoms. Its symmetry is No. 15. The offset from the most stable computed form comes out at 42.8 meV per atom.



Here is an optimized crystal structure of Tb5PmDy2 from Alexandria via LeMat-Bulk. Energies are from PBE-GGA.

a = 7.1413 Å, b = 14.2815 Å, c = 5.0333 Å
α = 90.00°, β = 90.00°, γ = 90.00°
Fractional coordinates of all 16 atoms:
Tb: 0.0000 0.0000 0.0000
Tb: 0.9995 0.2493 0.0000
Tb: 0.0005 0.7507 0.0000
Tb: 0.2492 0.1256 0.5000
Tb: 0.2508 0.6256 0.5000
Tb: 0.4995 0.2507 0.0000
Tb: 0.5000 0.5000 0.0000
Tb: 0.5005 0.7493 0.0000
Tb: 0.7492 0.3744 0.5000
Tb: 0.7508 0.8744 0.5000
Pm: 0.0000 0.5000 0.0000
Pm: 0.5000 0.0000 0.0000
Dy: 0.2501 0.3746 0.5000
Dy: 0.2499 0.8746 0.5000
Dy: 0.7501 0.1254 0.5000
Dy: 0.7499 0.6254 0.5000

Properties
The value obtained for the density of states at the Fermi level is 1.25 states/eV per atom. The spin magnetization comes out at 0.0 μB/cell. For the total energy, the calculation gives -0.340 Ry/atom. Its symmetry is No. 55. The offset from the most stable computed form comes out at 0.0 meV per atom.



Here is an optimized crystal structure of OsC2 from Alexandria via LeMat-Bulk. Energies are from PBE-GGA.

a = 5.7394 Å, b = 5.7394 Å, c = 2.8588 Å
α = 90.00°, β = 90.00°, γ = 120.00°
Fractional coordinates of all 9 atoms:
Os: 0.0000 0.0000 0.0000
Os: 0.3333 0.6667 0.5000
Os: 0.6667 0.3333 0.5000
C: 0.0000 0.2751 0.5000
C: 0.0000 0.6213 0.0000
C: 0.2751 0.0000 0.5000
C: 0.3787 0.3787 0.0000
C: 0.6213 0.0000 0.0000
C: 0.7249 0.7249 0.5000

Properties
The value obtained for the density of states at the Fermi level is 0.46 states/eV per atom. The spin magnetization comes out at 0.0 μB/cell. For the total energy, the calculation gives -0.600 Ry/atom. Its symmetry is No. 189. The offset from the most stable computed form comes out at 1162.2 meV per atom.



Here is an optimized crystal structure of Rb3PrSm2O6 from Alexandria via LeMat-Bulk. Energies are from PBE-GGA.

a = 6.3116 Å, b = 6.3116 Å, c = 6.9322 Å
α = 98.73°, β = 98.73°, γ = 120.00°
Fractional coordinates of all 12 atoms:
Rb: 0.0000 0.0000 0.0000
Rb: 0.3327 0.6673 0.0000
Rb: 0.6673 0.3327 0.0000
Pr: 0.5000 0.5000 0.5000
Sm: 0.1667 0.8333 0.5000
Sm: 0.8333 0.1667 0.5000
O: 0.1010 0.4400 0.3201
O: 0.2210 0.2210 0.6800
O: 0.4400 0.1010 0.3201
O: 0.5600 0.8990 0.6799
O: 0.7790 0.7790 0.3200
O: 0.8990 0.5600 0.6799

Properties
The value obtained for the density of states at the Fermi level is 0.00 states/eV per atom. The spin magnetization comes out at 0.0 μB/cell. For the total energy, the calculation gives -0.477 Ry/atom. The formation energy from raw total energies is -248.7 kJ/mol of atoms. Its symmetry is No. 12.



Here is an optimized crystal structure of Ho6ScCd2 from Alexandria via LeMat-Bulk. Energies are from PBE-GGA.

a = 6.4549 Å, b = 6.4549 Å, c = 11.6819 Å
α = 107.65°, β = 107.65°, γ = 33.09°
Fractional coordinates of all 9 atoms:
Ho: 0.0182 0.0182 0.3393
Ho: 0.3116 0.3116 0.4125
Ho: 0.3201 0.3201 0.1207
Ho: 0.6799 0.6799 0.8793
Ho: 0.6884 0.6884 0.5875
Ho: 0.9818 0.9818 0.6607
Sc: 0.0000 0.0000 0.0000
Cd: 0.3586 0.3586 0.8057
Cd: 0.6414 0.6414 0.1943

Properties
The value obtained for the density of states at the Fermi level is 1.06 states/eV per atom. The spin magnetization comes out at 0.0 μB/cell. For the total energy, the calculation gives -0.299 Ry/atom. Its symmetry is No. 12.



Here is an optimized crystal structure of LaTb3Y2Ho6 from Alexandria via LeMat-Bulk. Energies are from PBE-GGA.

a = 6.1645 Å, b = 6.1645 Å, c = 11.8041 Å
α = 94.98°, β = 94.98°, γ = 119.97°
Fractional coordinates of all 12 atoms:
La: 0.0000 0.0000 0.0000
Tb: 0.1671 0.8329 0.5000
Tb: 0.5000 0.5000 0.5000
Tb: 0.8329 0.1671 0.5000
Y: 0.3333 0.6667 0.0000
Y: 0.6667 0.3333 0.0000
Ho: 0.0851 0.4190 0.2527
Ho: 0.2491 0.2491 0.7473
Ho: 0.4190 0.0851 0.2527
Ho: 0.5810 0.9149 0.7473
Ho: 0.7509 0.7509 0.2527
Ho: 0.9149 0.5810 0.7473

Properties
The value obtained for the density of states at the Fermi level is 1.32 states/eV per atom. The spin magnetization comes out at 0.0 μB/cell. For the total energy, the calculation gives -0.361 Ry/atom. Its symmetry is No. 12.



Here is an optimized crystal structure of Rb2AsPbI6 from Alexandria via LeMat-Bulk. Energies are from PBE-GGA.

a = 8.6517 Å, b = 8.6517 Å, c = 8.6517 Å
α = 120.00°, β = 120.00°, γ = 90.00°
Fractional coordinates of all 10 atoms:
Rb: 0.2500 0.7500 0.5000
Rb: 0.7500 0.2500 0.5000
As: 0.0000 0.0000 0.0000
Pb: 0.5000 0.5000 0.0000
I: 0.2395 0.2395 0.0000
I: 0.2406 0.2406 0.4812
I: 0.2406 0.7594 0.0000
I: 0.7594 0.2406 0.0000
I: 0.7594 0.7594 0.5188
I: 0.7605 0.7605 0.0000

Properties
The value obtained for the density of states at the Fermi level is 0.48 states/eV per atom. The spin magnetization comes out at 0.0 μB/cell. For the total energy, the calculation gives -0.198 Ry/atom. The formation energy from raw total energies is -70.3 kJ/mol of atoms. Its symmetry is No. 139.



Here is an optimized crystal structure of ScFeCo from Alexandria via LeMat-Bulk. Energies are from PBE-GGA.

a = 4.1512 Å, b = 4.1512 Å, c = 4.1512 Å
α = 60.00°, β = 60.00°, γ = 60.00°
Fractional coordinates of all 3 atoms:
Sc: 0.0000 0.0000 0.0000
Fe: 0.7500 0.7500 0.7500
Co: 0.2500 0.2500 0.2500

Properties
The value obtained for the density of states at the Fermi level is 1.62 states/eV per atom. The spin magnetization comes out at 3.0 μB/cell. For the total energy, the calculation gives -0.477 Ry/atom. Its symmetry is No. 216.



Here is an optimized crystal structure of MgZn2AgSe from Alexandria via LeMat-Bulk. Energies are from PBE-GGA.

a = 4.9910 Å, b = 4.9910 Å, c = 5.1859 Å
α = 90.00°, β = 90.00°, γ = 90.00°
Fractional coordinates of all 5 atoms:
Mg: 0.0000 0.0000 0.0000
Zn: 0.0000 0.5000 0.5000
Zn: 0.5000 0.0000 0.5000
Ag: 0.5000 0.5000 0.0000
Se: 0.5000 0.5000 0.5000

Properties
The value obtained for the density of states at the Fermi level is 0.50 states/eV per atom. The spin magnetization comes out at 0.0 μB/cell. For the total energy, the calculation gives -0.126 Ry/atom. The formation energy from raw total energies is 36.6 kJ/mol of atoms. Its symmetry is No. 123.